1.
DFT (PBE) results for crystalline MgMnBeH6 at its relaxed geometry.

Cell lengths 4.1423, 4.1423, 8.3201 Å; angles 90.00, 90.00, 120.00 degrees
Last column: nearest neighbours and their distance in Å.
Element x y z (fractional)
Mg (0.0000, 0.0000, 0.0000)  6 H 2.03
Mg (0.0000, 0.0000, 0.5000)  6 H 2.03
Mn (0.3333, 0.6667, 0.2500)  6 H 1.61
Mn (0.6667, 0.3333, 0.7500)  6 H 1.61
Be (0.3333, 0.6667, 0.7500)  6 H 1.62
Be (0.6667, 0.3333, 0.2500)  6 H 1.62
H (0.0015, 0.4210, 0.1257)  1 Mn 1.61, 1 Be 1.62
H (0.0015, 0.5805, 0.3743)  1 Mn 1.61, 1 Be 1.62
H (0.4195, 0.4210, 0.3743)  1 Mn 1.61, 1 Be 1.62
H (0.4195, 0.9985, 0.1257)  1 Mn 1.61, 1 Be 1.62
H (0.4210, 0.0015, 0.6257)  1 Mn 1.61, 1 Be 1.62
H (0.4210, 0.4195, 0.8743)  1 Mn 1.61, 1 Be 1.62
H (0.5790, 0.5805, 0.1257)  1 Mn 1.61, 1 Be 1.62
H (0.5790, 0.9985, 0.3743)  1 Mn 1.61, 1 Be 1.62
H (0.5805, 0.0015, 0.8743)  1 Mn 1.61, 1 Be 1.62
H (0.5805, 0.5790, 0.6257)  1 Mn 1.61, 1 Be 1.62
H (0.9985, 0.4195, 0.6257)  1 Mn 1.61, 1 Be 1.62
H (0.9985, 0.5790, 0.8743)  1 Mn 1.61, 1 Be 1.62

Computed properties:
- Electronic total energy: -3.898 eV/atom


2.
DFT (PBE) results for crystalline AlZn2Se at its relaxed geometry.

Cell lengths 6.1327, 3.5455, 7.5326 Å; angles 90.00, 90.03, 90.00 degrees
Last column: nearest neighbours and their distance in Å.
Element x y z (fractional)
Al (0.0000, 0.0000, 0.0000)  3 Se 2.48
Al (0.5000, 0.5000, 0.0000)  3 Se 2.48
Zn (0.1651, 0.5000, 0.5220)  1 Se 2.53, 3 Zn 2.64-2.65
Zn (0.3324, 0.0000, 0.7452)  3 Zn 2.64-2.65, 3 Al 2.80-2.81
Zn (0.6651, 0.0000, 0.5220)  1 Se 2.53, 3 Zn 2.64-2.65
Zn (0.8324, 0.5000, 0.7452)  3 Zn 2.64-2.65, 3 Al 2.80-2.81
Se (0.1665, 0.5000, 0.1864)  3 Al 2.48, 1 Zn 2.53
Se (0.6665, 0.0000, 0.1864)  3 Al 2.48, 1 Zn 2.53

Computed properties:
- E above lowest polymorph: 0.0 kJ per mole of atoms
- Electronic total energy: -2.586 eV/atom
- Formation energy (no corrections): -0.142 eV per atom


3.
DFT (PBE) results for crystalline SeN2F2 at its relaxed geometry.

Cell lengths 4.2365, 4.2365, 3.8338 Å; angles 90.00, 90.00, 90.00 degrees
Last column: nearest neighbours and their distance in Å.
Element x y z (fractional)
Se (0.0000, 0.0000, 0.0000)  2 N 1.92, 4 F 2.12
N (0.0000, 0.0000, 0.5000)  2 Se 1.92
N (0.5000, 0.5000, 0.5000)  8 F 2.86, 4 N 3.00
F (0.0000, 0.5000, 0.0000)  2 Se 2.12
F (0.5000, 0.0000, 0.0000)  2 Se 2.12

Computed properties:
- E above lowest polymorph: 0.0 kJ per mole of atoms
- Electronic total energy: -3.691 eV/atom
- Formation energy (no corrections): 1.084 eV per atom


4.
DFT (PBE) results for crystalline TbDy5Th2 at its relaxed geometry.

Cell lengths 3.5189, 11.1733, 13.1851 Å; angles 90.00, 90.00, 90.00 degrees
Last column: nearest neighbours and their distance in Å.
Element x y z (fractional)
Tb (0.0000, 0.0000, 0.0000)  2 Tb 3.52, 4 Th 3.63, 8 Dy 3.87
Tb (0.5000, 0.5000, 0.5000)  2 Tb 3.52, 4 Th 3.63, 8 Dy 3.87
Dy (0.0000, 0.2330, 0.3694)  3 Th 3.32-3.57, 7 Dy 3.44-3.63
Dy (0.0000, 0.2330, 0.6306)  3 Th 3.32-3.57, 7 Dy 3.44-3.63
Dy (0.0000, 0.5000, 0.0000)  2 Th 3.42, 10 Dy 3.52-3.58
Dy (0.0000, 0.7670, 0.3694)  3 Th 3.32-3.57, 7 Dy 3.44-3.63
Dy (0.0000, 0.7670, 0.6306)  3 Th 3.32-3.57, 7 Dy 3.44-3.63
Dy (0.5000, 0.0000, 0.5000)  2 Th 3.42, 10 Dy 3.52-3.58
Dy (0.5000, 0.2670, 0.1306)  3 Th 3.32-3.57, 7 Dy 3.44-3.63
Dy (0.5000, 0.2670, 0.8694)  3 Th 3.32-3.57, 7 Dy 3.44-3.63
Dy (0.5000, 0.7330, 0.1306)  3 Th 3.32-3.57, 7 Dy 3.44-3.63
Dy (0.5000, 0.7330, 0.8694)  3 Th 3.32-3.57, 7 Dy 3.44-3.63
Th (0.0000, 0.5000, 0.2592)  7 Dy 3.32-3.57, 2 Th 3.52, 2 Tb 3.63
Th (0.0000, 0.5000, 0.7408)  7 Dy 3.32-3.57, 2 Th 3.52, 2 Tb 3.63
Th (0.5000, 0.0000, 0.2408)  7 Dy 3.32-3.57, 2 Th 3.52, 2 Tb 3.63
Th (0.5000, 0.0000, 0.7592)  7 Dy 3.32-3.57, 2 Th 3.52, 2 Tb 3.63

Computed properties:
- Electronic total energy: -5.211 eV/atom
- Calculated formation energy: 0.099 eV/atom


5.
DFT (PBE) results for crystalline Pm6Ge2Ir at its relaxed geometry.

Cell lengths 8.7013, 8.7013, 8.7013 Å; angles 146.80, 131.83, 59.75 degrees
Last column: nearest neighbours and their distance in Å.
Element x y z (fractional)
Pm (0.0825, 0.3393, 0.7431)  1 Ir 2.98, 3 Ge 3.08-3.09
Pm (0.2413, 0.0000, 0.2413)  2 Ir 3.02, 2 Ge 3.16
Pm (0.4038, 0.6607, 0.7431)  1 Ir 2.98, 3 Ge 3.08-3.09
Pm (0.5962, 0.3393, 0.2569)  1 Ir 2.98, 3 Ge 3.08-3.09
Pm (0.7587, 0.0000, 0.7587)  2 Ir 3.02, 2 Ge 3.16
Pm (0.9175, 0.6607, 0.2569)  1 Ir 2.98, 3 Ge 3.08-3.09
Ge (0.3300, 0.8300, 0.5000)  8 Pm 3.08-3.16
Ge (0.6700, 0.1700, 0.5000)  8 Pm 3.08-3.16
Ir (0.0000, 0.5000, 0.5000)  8 Pm 2.98-3.02

Computed properties:
- Electronic total energy: -5.692 eV/atom
- Calculated formation energy: -0.514 eV/atom


6.
DFT (PBE) results for crystalline FeRh2Cl at its relaxed geometry.

Cell lengths 6.7229, 6.7229, 5.3586 Å; angles 90.00, 90.00, 90.00 degrees
Last column: nearest neighbours and their distance in Å.
Element x y z (fractional)
Fe (0.0000, 0.0000, 0.0000)  4 Rh 2.36
Fe (0.0000, 0.5000, 0.2500)  4 Rh 2.36
Fe (0.5000, 0.0000, 0.7500)  4 Rh 2.36
Fe (0.5000, 0.5000, 0.5000)  4 Rh 2.36
Rh (0.2259, 0.2500, 0.1250)  2 Fe 2.36, 2 Cl 2.58
Rh (0.2500, 0.7259, 0.3750)  2 Fe 2.36, 2 Cl 2.58
Rh (0.2500, 0.7741, 0.8750)  2 Fe 2.36, 2 Cl 2.58
Rh (0.2741, 0.2500, 0.6250)  2 Fe 2.36, 2 Cl 2.58
Rh (0.7259, 0.7500, 0.6250)  2 Fe 2.36, 2 Cl 2.58
Rh (0.7500, 0.2259, 0.8750)  2 Fe 2.36, 2 Cl 2.58
Rh (0.7500, 0.2741, 0.3750)  2 Fe 2.36, 2 Cl 2.58
Rh (0.7741, 0.7500, 0.1250)  2 Fe 2.36, 2 Cl 2.58
Cl (0.0000, 0.0000, 0.5000)  4 Rh 2.58, 2 Fe 2.68
Cl (0.0000, 0.5000, 0.7500)  4 Rh 2.58, 2 Fe 2.68
Cl (0.5000, 0.0000, 0.2500)  4 Rh 2.58, 2 Fe 2.68
Cl (0.5000, 0.5000, 0.0000)  4 Rh 2.58, 2 Fe 2.68

Computed properties:
- Electronic total energy: -5.476 eV/atom
- Formation energy (no corrections): 0.777 eV per atom